# 1
## ZrMnFe (meta-GGA SCAN)

Data for a crystal of ZrMnFe relaxed with PBEsol.

Values from the calculation:
DOS(E_F): 2.822 states/eV/cell
Total magnetization: 0.4 Bohr magnetons per cell
DFT formation energy: 0.147 eV/atom
Distance to the lowest polymorph of the same formula: 317 meV per atom
Final energy: -22.21 eV/atom

a = 5.625 Å, b = 5.625 Å, c = 5.625 Å
α = 151.29°, β = 151.29°, γ = 41.06°
Element x y z (fractional)
1 Zr 0.000 0.000 0.000
2 Mn 0.303 0.303 0.000
3 Fe 0.697 0.697 0.000

=====

# 2
## CoRe2W (meta-GGA SCAN)

Data for a crystal of CoRe2W relaxed with PBEsol.

Values from the calculation:
DOS(E_F): 3.180 states/eV/cell
Total magnetization: 0.0 Bohr magnetons per cell
DFT formation energy: 0.181 eV/atom
Distance to the lowest polymorph of the same formula: 76 meV per atom
Final energy: -57.12 eV/atom

a = 4.672 Å, b = 4.672 Å, c = 4.672 Å
α = 131.95°, β = 131.95°, γ = 70.31°
Element x y z (fractional)
1 Co 0.000 0.000 0.000
2 Re 0.250 0.750 0.500
3 Re 0.750 0.250 0.500
4 W 0.500 0.500 0.000

=====

# 3
## CaPt3 (meta-GGA SCAN)

Data for a crystal of CaPt3 relaxed with PBEsol.

Values from the calculation:
DOS(E_F): 5.193 states/eV/cell
Total magnetization: 0.0 Bohr magnetons per cell
DFT formation energy: -0.455 eV/atom
Final energy: -55.52 eV/atom

a = 4.989 Å, b = 4.989 Å, c = 4.989 Å
α = 132.29°, β = 132.29°, γ = 69.78°
Element x y z (fractional)
1 Ca 0.000 0.000 0.000
2 Pt 0.250 0.750 0.500
3 Pt 0.500 0.500 0.000
4 Pt 0.750 0.250 0.500

=====

# 4
## BaSiAsBr2 (meta-GGA SCAN)

Data for a crystal of BaSiAsBr2 relaxed with PBEsol.

Values from the calculation:
DOS(E_F): 2.028 states/eV/cell
Raw formation energy: -0.78 eV per atom
Total magnetization: 0.0 Bohr magnetons per cell
Final energy: -22.52 eV/atom

a = 5.268 Å, b = 5.268 Å, c = 4.908 Å
α = 90.00°, β = 90.00°, γ = 90.00°
Element x y z (fractional)
1 Ba 0.000 0.000 0.000
2 Si 0.500 0.500 0.500
3 As 0.500 0.500 0.000
4 Br 0.000 0.500 0.500
5 Br 0.500 0.000 0.500

=====

# 5
## MgTc2Ag (meta-GGA SCAN)

Data for a crystal of MgTc2Ag relaxed with PBEsol.

Values from the calculation:
DOS(E_F): 2.877 states/eV/cell
Total magnetization: 0.0 Bohr magnetons per cell
DFT formation energy: 0.293 eV/atom
Final energy: -26.32 eV/atom

a = 4.515 Å, b = 4.515 Å, c = 4.515 Å
α = 124.28°, β = 124.28°, γ = 82.74°
Element x y z (fractional)
1 Mg 0.000 0.000 0.000
2 Tc 0.500 0.500 0.000
3 Tc 0.750 0.250 0.500
4 Ag 0.250 0.750 0.500

=====

# 6
## FeAg2Ir (meta-GGA SCAN)

Data for a crystal of FeAg2Ir relaxed with PBEsol.

Values from the calculation:
DOS(E_F): 2.330 states/eV/cell
Total magnetization: 3.6 Bohr magnetons per cell
DFT formation energy: 0.180 eV/atom
Final energy: -37.81 eV/atom

a = 2.691 Å, b = 2.691 Å, c = 9.247 Å
α = 90.00°, β = 90.00°, γ = 117.31°
Element x y z (fractional)
1 Fe 0.000 0.000 0.000
2 Ag 0.000 0.000 0.487
3 Ag 0.500 0.500 0.753
4 Ir 0.500 0.500 0.222

=====

# 7
## CrIrPt2 (meta-GGA SCAN)

Data for a crystal of CrIrPt2 relaxed with PBEsol.

Values from the calculation:
DOS(E_F): 4.806 states/eV/cell
Total magnetization: 0.0 Bohr magnetons per cell
DFT formation energy: -0.001 eV/atom
Final energy: -57.47 eV/atom

a = 8.920 Å, b = 8.920 Å, c = 8.920 Å
α = 17.41°, β = 17.41°, γ = 17.41°
Element x y z (fractional)
1 Cr 0.000 0.000 0.000
2 Ir 0.500 0.500 0.500
3 Pt 0.255 0.255 0.255
4 Pt 0.745 0.745 0.745

=====

# 8
## LiYSbI2 (meta-GGA SCAN)

Data for a crystal of LiYSbI2 relaxed with PBEsol.

Values from the calculation:
DOS(E_F): 2.660 states/eV/cell
Raw formation energy: -0.36 eV per atom
Total magnetization: 0.6 Bohr magnetons per cell
Final energy: -28.55 eV/atom

a = 5.068 Å, b = 5.068 Å, c = 5.529 Å
α = 90.00°, β = 90.00°, γ = 90.00°
Element x y z (fractional)
1 Li 0.000 0.000 0.000
2 Y 0.500 0.500 0.500
3 Sb 0.000 0.000 0.500
4 I 0.000 0.500 0.000
5 I 0.500 0.000 0.000

=====

# 9
## SbMo (meta-GGA SCAN)

Data for a crystal of SbMo relaxed with PBEsol.

Values from the calculation:
DOS(E_F): 2.047 states/eV/cell
Raw formation energy: 0.25 eV per atom
Total magnetization: 0.0 Bohr magnetons per cell
Final energy: -35.82 eV/atom

a = 3.106 Å, b = 3.106 Å, c = 9.971 Å
α = 90.00°, β = 90.00°, γ = 120.00°
Element x y z (fractional)
1 Sb 0.333 0.667 0.176
2 Sb 0.667 0.333 0.824
3 Mo 0.333 0.667 0.592
4 Mo 0.667 0.333 0.408

=====

# 10
## Cd2SiP (meta-GGA SCAN)

Data for a crystal of Cd2SiP relaxed with PBEsol.

Values from the calculation:
DOS(E_F): 1.863 states/eV/cell
Raw formation energy: 0.63 eV per atom
Total magnetization: 0.0 Bohr magnetons per cell
Distance to the lowest polymorph of the same formula: 162 meV per atom
Final energy: -19.68 eV/atom

a = 4.740 Å, b = 4.740 Å, c = 4.740 Å
α = 60.00°, β = 60.00°, γ = 60.00°
Element x y z (fractional)
1 Cd 0.250 0.250 0.250
2 Cd 0.750 0.750 0.750
3 Si 0.000 0.000 0.000
4 P 0.500 0.500 0.500

=====

# 11
## Ga3AgS (meta-GGA SCAN)

Data for a crystal of Ga3AgS relaxed with PBEsol.

Values from the calculation:
DOS(E_F): 2.678 states/eV/cell
Raw formation energy: 0.56 eV per atom
Total magnetization: 0.0 Bohr magnetons per cell
Final energy: -17.45 eV/atom

a = 4.743 Å, b = 4.743 Å, c = 4.743 Å
α = 90.00°, β = 90.00°, γ = 90.00°
Element x y z (fractional)
1 Ga 0.000 0.000 0.500
2 Ga 0.000 0.500 0.000
3 Ga 0.500 0.000 0.000
4 Ag 0.500 0.500 0.500
5 S 0.000 0.000 0.000

=====

# 12
## NbCuAg2W (meta-GGA SCAN)

Data for a crystal of NbCuAg2W relaxed with PBEsol.

Values from the calculation:
DOS(E_F): 4.588 states/eV/cell
Total magnetization: 1.8 Bohr magnetons per cell
DFT formation energy: 2.434 eV/atom
Final energy: -33.72 eV/atom

a = 4.899 Å, b = 4.899 Å, c = 4.530 Å
α = 90.00°, β = 90.00°, γ = 90.00°
Element x y z (fractional)
1 Nb 0.000 0.000 0.000
2 Cu 0.000 0.000 0.500
3 Ag 0.000 0.500 0.000
4 Ag 0.500 0.000 0.000
5 W 0.500 0.500 0.500

=====

# 13
## PRu2Br (meta-GGA SCAN)

Data for a crystal of PRu2Br relaxed with PBEsol.

Values from the calculation:
DOS(E_F): 3.211 states/eV/cell
Raw formation energy: 0.59 eV per atom
Total magnetization: 0.0 Bohr magnetons per cell
Distance to the lowest polymorph of the same formula: 0 meV per atom
Final energy: -24.29 eV/atom

a = 5.049 Å, b = 5.049 Å, c = 5.049 Å
α = 146.91°, β = 114.85°, γ = 75.04°
Element x y z (fractional)
1 P 0.000 0.000 0.000
2 Ru 0.220 0.720 0.500
3 Ru 0.780 0.280 0.500
4 Br 0.500 0.500 0.000

=====

# 14
## KSrAs2 (meta-GGA SCAN)

Data for a crystal of KSrAs2 relaxed with PBEsol.

Values from the calculation:
DOS(E_F): 3.014 states/eV/cell
Total magnetization: 0.0 Bohr magnetons per cell
DFT formation energy: -0.369 eV/atom
Distance to the lowest polymorph of the same formula: 456 meV per atom
Final energy: -18.12 eV/atom

a = 3.117 Å, b = 5.617 Å, c = 6.339 Å
α = 90.00°, β = 90.00°, γ = 90.00°
Element x y z (fractional)
1 K 0.000 0.000 0.000
2 Sr 0.500 0.500 0.500
3 As 0.000 0.000 0.500
4 As 0.500 0.500 0.000

=====

# 15
## TaTiF2 (meta-GGA SCAN)

Data for a crystal of TaTiF2 relaxed with PBEsol.

Values from the calculation:
DOS(E_F): 4.367 states/eV/cell
Raw formation energy: -0.43 eV per atom
Total magnetization: 0.0 Bohr magnetons per cell
Distance to the lowest polymorph of the same formula: 1242 meV per atom
Final energy: -22.85 eV/atom

a = 4.154 Å, b = 4.154 Å, c = 4.154 Å
α = 60.00°, β = 60.00°, γ = 60.00°
Element x y z (fractional)
1 Ta 0.000 0.000 0.000
2 Ti 0.500 0.500 0.500
3 F 0.250 0.250 0.250
4 F 0.750 0.750 0.750

=====

# 16
## CaLaCo (meta-GGA SCAN)

Data for a crystal of CaLaCo relaxed with PBEsol.

Values from the calculation:
DOS(E_F): 1.451 states/eV/cell
Total magnetization: 0.4 Bohr magnetons per cell
DFT formation energy: 0.080 eV/atom
Distance to the lowest polymorph of the same formula: 0 meV per atom
Final energy: -23.28 eV/atom

a = 7.020 Å, b = 7.020 Å, c = 7.020 Å
α = 151.96°, β = 151.96°, γ = 40.07°
Element x y z (fractional)
1 Ca 0.000 0.000 0.000
2 La 0.752 0.752 0.000
3 Co 0.362 0.362 0.000

=====

# 17
## Ir3SF (meta-GGA SCAN)

Data for a crystal of Ir3SF relaxed with PBEsol.

Values from the calculation:
DOS(E_F): 3.755 states/eV/cell
Raw formation energy: 1.11 eV per atom
Total magnetization: 0.0 Bohr magnetons per cell
Final energy: -44.18 eV/atom

a = 4.325 Å, b = 4.325 Å, c = 4.325 Å
α = 90.00°, β = 90.00°, γ = 90.00°
Element x y z (fractional)
1 Ir 0.000 0.000 0.500
2 Ir 0.000 0.500 0.000
3 Ir 0.500 0.000 0.000
4 S 0.000 0.000 0.000
5 F 0.500 0.500 0.500

=====

# 18
## Cs3RbPd (meta-GGA SCAN)

Data for a crystal of Cs3RbPd relaxed with PBEsol.

Values from the calculation:
DOS(E_F): 0.463 states/eV/cell
Total magnetization: 0.0 Bohr magnetons per cell
DFT formation energy: 0.096 eV/atom
Final energy: -33.29 eV/atom

a = 6.889 Å, b = 6.889 Å, c = 6.889 Å
α = 90.00°, β = 90.00°, γ = 90.00°
Element x y z (fractional)
1 Cs 0.000 0.000 0.500
2 Cs 0.000 0.500 0.000
3 Cs 0.500 0.000 0.000
4 Rb 0.500 0.500 0.500
5 Pd 0.000 0.000 0.000

=====

# 19
## Mg2ZrHg (meta-GGA SCAN)

Data for a crystal of Mg2ZrHg relaxed with PBEsol.

Values from the calculation:
DOS(E_F): 1.700 states/eV/cell
Total magnetization: 0.0 Bohr magnetons per cell
DFT formation energy: -0.186 eV/atom
Final energy: -27.39 eV/atom

a = 3.069 Å, b = 4.607 Å, c = 6.161 Å
α = 90.00°, β = 104.52°, γ = 90.00°
Element x y z (fractional)
1 Mg 0.000 0.000 0.000
2 Mg 0.390 0.500 0.777
3 Zr 0.646 0.500 0.293
4 Hg 0.250 0.000 0.502

=====

# 20
## Tl2HgSb (meta-GGA SCAN)

Data for a crystal of Tl2HgSb relaxed with PBEsol.

Values from the calculation:
DOS(E_F): 4.084 states/eV/cell
Raw formation energy: 0.06 eV per atom
Total magnetization: 0.0 Bohr magnetons per cell
Distance to the lowest polymorph of the same formula: 57 meV per atom
Final energy: -62.48 eV/atom

a = 6.784 Å, b = 6.784 Å, c = 6.784 Å
α = 101.83°, β = 101.83°, γ = 126.17°
Element x y z (fractional)
1 Tl 0.117 0.625 0.992
2 Tl 0.375 0.367 0.492
3 Tl 0.633 0.125 0.008
4 Tl 0.875 0.883 0.508
5 Hg 0.250 0.750 0.500
6 Hg 0.500 0.500 0.000
7 Sb 0.000 0.000 0.000
8 Sb 0.750 0.250 0.500